First-principles (PBE-GGA) data for a relaxed CuSbP crystal, as listed in Alexandria. Values from VASP.

Geometry as Quantum ESPRESSO input:
```
&SYSTEM
  ibrav = 0, nat = 6, ntyp = 3
/
ATOMIC_SPECIES
Cu 63.55 Cu.upf
Sb 121.76 Sb.upf
P 30.97 P.upf
CELL_PARAMETERS angstrom
1.9381 -3.3570 0.0000
1.9381 3.3570 0.0000
0.0000 0.0000 8.7411
ATOMIC_POSITIONS crystal
Cu 0.3333 0.6667 0.0525
Cu 0.6667 0.3333 0.5525
Sb 0.0000 0.0000 0.7295
Sb 0.0000 0.0000 0.2295
P 0.3333 0.6667 0.4690
P 0.6667 0.3333 0.9690
```

Calculated values
Total DFT energy (no corrections) = -4.354 eV/atom
Energy relative to the lowest polymorph listed for this composition = 10 meV per atom
Space-group type = P6_3mc, No. 186